(1)
# LiZn3Cl (PBE, optimized geometry)
data_LiZn3Cl
_symmetry_space_group_name_H-M 'P m -3 m'
_symmetry_Int_Tables_number 221
_symmetry_space_group_name_Hall '-P 4 2 3'
_cell_length_a 4.896
_cell_length_b 4.896
_cell_length_c 4.896
_cell_angle_alpha 90.00
_cell_angle_beta 90.00
_cell_angle_gamma 90.00
loop_
_atom_site_label
_atom_site_type_symbol
_atom_site_fract_x
_atom_site_fract_y
_atom_site_fract_z
Li1 Li 0.000 0.000 0.000
Zn1 Zn 0.000 0.000 0.500
Cl1 Cl 0.500 0.500 0.500
# crystal system	cubic

(2)
# LiZn2Cl5 (PBE, optimized geometry)
data_LiZn2Cl5
_symmetry_space_group_name_H-M 'C 1 m 1'
_symmetry_Int_Tables_number 8
_symmetry_space_group_name_Hall 'C -2y'
_cell_length_a 11.882
_cell_length_b 6.674
_cell_length_c 6.257
_cell_angle_alpha 90.00
_cell_angle_beta 119.49
_cell_angle_gamma 90.00
loop_
_atom_site_label
_atom_site_type_symbol
_atom_site_fract_x
_atom_site_fract_y
_atom_site_fract_z
Li1 Li 0.000 0.000 0.000
Zn1 Zn 0.019 0.000 0.547
Zn2 Zn 0.416 0.000 0.957
Cl1 Cl 0.036 0.252 0.293
Cl2 Cl 0.210 0.000 0.926
Cl3 Cl 0.401 0.255 0.673
# crystal system	monoclinic

no.,total DFT energy (no corrections) (eV per atom),theoretical density (g cm⁻³)
1,-1.36,3.38
2,-2.88,2.42